Compound: Zr2SiPt
Source: Alexandria
Functional: PBE
Structure: relaxed

abc: 3.9836 3.1868 6.5456
angles: 60.91 90.00 90.00
With the nearest neighbours (Å) after each atom.
Atoms (fractional coordinates):
Pt 0.5000 0.2500 0.2500  2 Si 2.86, 8 Zr 2.93, 2 Pt 3.19
Si 0.5000 0.7500 0.7500  2 Pt 2.86, 8 Zr 2.92, 2 Si 3.19
Zr 0.0000 0.0000 0.9990  4 Zr 2.85-3.19, 4 Si 2.92, 4 Pt 2.93
Zr 0.0000 0.5000 0.5010  4 Zr 2.85-3.19, 4 Si 2.92, 4 Pt 2.93

Output
The crystal system is orthorhombic. Its total DFT energy (no corrections) is -31.45 eV for the cell shown.

***

Compound: TaRuAu
Source: Alexandria
Functional: PBE
Structure: relaxed

abc: 7.4949 7.6040 7.6040
angles: 61.33 60.47 60.47
With the nearest neighbours (Å) after each atom.
Atoms (fractional coordinates):
Au 0.2602 0.9262 0.4262  6 Ru 2.74-2.94, 5 Ta 2.78-2.89
Au 0.6126 0.0738 0.5738  6 Ru 2.74-2.94, 5 Ta 2.78-2.89
Au 0.7580 0.5428 0.0428  4 Ta 2.76-2.91, 2 Au 2.92-3.00, 4 Ru 2.98-3.03
Au 0.3436 0.4572 0.9572  4 Ta 2.76-2.91, 2 Au 2.92-3.00, 4 Ru 2.98-3.03
Au 0.8327 0.2978 0.7978  5 Ta 2.75-2.87, 4 Ru 2.90-3.05, 2 Au 2.92-3.00
Au 0.9283 0.7022 0.2022  5 Ta 2.75-2.87, 4 Ru 2.90-3.05, 2 Au 2.92-3.00
Ru 0.4889 0.5000 0.5000  4 Ta 2.59-2.72, 2 Au 2.74
Ru 0.4889 0.0000 0.0000  4 Ta 2.59-2.72, 2 Au 2.74
Ru 0.2299 0.9351 0.8152  4 Ta 2.59-2.73, 1 Ru 2.83, 1 Au 2.88
Ru 0.9801 0.0649 0.1848  4 Ta 2.59-2.73, 1 Ru 2.83, 1 Au 2.88
Ru 0.9801 0.6848 0.5649  4 Ta 2.59-2.73, 1 Ru 2.83, 1 Au 2.88
Ru 0.2299 0.3152 0.4351  4 Ta 2.59-2.73, 1 Ru 2.83, 1 Au 2.88
Ta 0.3085 0.6902 0.1902  6 Ru 2.69-2.73, 4 Au 2.76-2.91
Ta 0.1890 0.3098 0.8098  6 Ru 2.69-2.73, 4 Au 2.76-2.91
Ta 0.5928 0.7011 0.6099  3 Ru 2.59-2.70, 5 Au 2.75-2.87
Ta 0.9038 0.2989 0.3901  3 Ru 2.59-2.70, 5 Au 2.75-2.87
Ta 0.9038 0.8901 0.7989  3 Ru 2.59-2.70, 5 Au 2.75-2.87
Ta 0.5928 0.1099 0.2011  3 Ru 2.59-2.70, 5 Au 2.75-2.87

Output
Its formation energy is 0.057 eV per atom. The crystal system is orthorhombic. Its total DFT energy (no corrections) is -145.41 eV for the cell shown.

***

Compound: ThTc2B6
Source: Alexandria
Functional: PBE
Structure: relaxed

abc: 3.2223 5.6972 5.6972
angles: 72.42 73.57 73.57
With the nearest neighbours (Å) after each atom.
Atoms (fractional coordinates):
Th 0.0000 0.0000 0.0000  16 B 2.85-3.11
Tc 0.8400 0.6600 0.6600  10 B 2.16-2.35
Tc 0.1600 0.3400 0.3400  10 B 2.16-2.35
B 0.6915 0.0673 0.5498  3 B 1.76-1.90
B 0.3085 0.9327 0.4502  3 B 1.76-1.90
B 0.3085 0.4502 0.9327  3 B 1.76-1.90
B 0.5000 0.6509 0.3491  2 B 1.76
B 0.5000 0.3491 0.6509  2 B 1.76
B 0.6915 0.5498 0.0673  3 B 1.76-1.90

Output
Its formation energy is -0.509 eV per atom. The crystal system is orthorhombic. Its total DFT energy (no corrections) is -72.80 eV for the cell shown.

***

Compound: HgBi2F
Source: Alexandria
Functional: PBE
Structure: relaxed

abc: 5.0876 5.0876 5.0876
angles: 60.00 60.00 60.00
With the nearest neighbours (Å) after each atom.
Atoms (fractional coordinates):
F 0.0000 0.0000 0.0000  8 Bi 3.12
Bi 0.2500 0.2500 0.2500  4 Hg 3.12, 4 F 3.12
Bi 0.7500 0.7500 0.7500  4 Hg 3.12, 4 F 3.12
Hg 0.5000 0.5000 0.5000  8 Bi 3.12

Output
The crystal system is cubic. Its total DFT energy (no corrections) is -12.09 eV for the cell shown.

***

Compound: Tb4CuOs
Source: Alexandria
Functional: PBE
Structure: relaxed

abc: 6.9066 6.9044 6.9090
angles: 90.00 87.71 90.00
With the nearest neighbours (Å) after each atom.
Atoms (fractional coordinates):
Tb 0.8265 0.6623 0.1563  2 Os 2.78-2.82, 1 Cu 2.93
Tb 0.6735 0.1623 0.8437  2 Os 2.78-2.82, 1 Cu 2.93
Tb 0.3480 0.3375 0.3305  1 Os 2.72, 2 Cu 2.83-2.86
Tb 0.1520 0.8375 0.6695  1 Os 2.72, 2 Cu 2.83-2.86
Tb 0.1735 0.3377 0.8437  2 Os 2.78-2.82, 1 Cu 2.93
Tb 0.3265 0.8377 0.1563  2 Os 2.78-2.82, 1 Cu 2.93
Tb 0.6520 0.6625 0.6695  1 Os 2.72, 2 Cu 2.83-2.86
Tb 0.8480 0.1625 0.3305  1 Os 2.72, 2 Cu 2.83-2.86
Cu 0.5000 0.0000 0.5000  6 Tb 2.83-2.93
Cu 0.0000 0.5000 0.5000  6 Tb 2.83-2.93
Os 0.0000 0.0000 0.0000  6 Tb 2.72-2.82
Os 0.5000 0.5000 0.0000  6 Tb 2.72-2.82

Output
Its formation energy is -0.099 eV per atom. The crystal system is monoclinic. Its total DFT energy (no corrections) is -68.89 eV for the cell shown.

***

Compound: La4PrHo
Source: Alexandria
Functional: PBE
Structure: relaxed

abc: 6.4520 6.4519 6.1609
angles: 90.01 90.01 57.08
With the nearest neighbours (Å) after each atom.
Atoms (fractional coordinates):
La 0.3400 0.3399 0.0006  2 Pr 3.57-3.58, 3 Ho 3.58-3.85, 5 La 3.63-3.71
La 0.6600 0.6601 0.9994  2 Pr 3.57-3.58, 3 Ho 3.58-3.85, 5 La 3.63-3.71
La 0.8420 0.8420 0.4990  2 Ho 3.56-3.57, 3 Pr 3.56-3.88, 5 La 3.58-3.72
La 0.1580 0.1580 0.5010  2 Ho 3.56-3.57, 3 Pr 3.56-3.88, 5 La 3.58-3.72
Pr 0.5000 0.5000 0.5000  10 La 3.56-3.88
Ho 0.0000 0.0000 0.0000  10 La 3.56-3.85

Output
Its formation energy is 0.098 eV per atom. The crystal system is monoclinic. Its total DFT energy (no corrections) is -28.48 eV for the cell shown.

***

Compound: Li2ZnCo
Source: Alexandria
Functional: PBE
Structure: relaxed

abc: 4.5495 4.5495 4.8080
angles: 82.98 82.98 32.41
With the nearest neighbours (Å) after each atom.
Atoms (fractional coordinates):
Co 0.7543 0.7543 0.7230  3 Zn 2.53-2.54, 2 Co 2.54, 7 Li 2.66-2.78
Li 0.0048 0.0048 0.0025  5 Li 2.51-2.72, 2 Zn 2.59, 3 Co 2.71-2.72
Li 0.2450 0.2450 0.2394  5 Li 2.51-2.72, 4 Co 2.66-2.78, 3 Zn 2.75-2.76
Zn 0.4960 0.4960 0.5351  3 Co 2.53-2.54, 2 Zn 2.54, 5 Li 2.59-2.76

Output
Its formation energy is 0.050 eV per atom. The crystal system is monoclinic. Its total DFT energy (no corrections) is -12.01 eV for the cell shown.

***

Compound: TiAg3S4
Source: Alexandria
Functional: PBE
Structure: relaxed

abc: 5.7109 5.7109 6.9797
angles: 114.15 114.15 90.00
With the nearest neighbours (Å) after each atom.
Atoms (fractional coordinates):
Ti 0.0000 0.0000 0.0000  4 S 2.28
Ag 0.5000 0.5000 0.0000  4 S 2.54
Ag 0.7500 0.2500 0.5000  4 S 2.54
Ag 0.2500 0.7500 0.5000  4 S 2.54
S 0.3465 0.3465 0.2306  1 Ti 2.28, 3 Ag 2.54
S 0.8840 0.8840 0.2306  1 Ti 2.28, 3 Ag 2.54
S 0.1160 0.6535 0.7694  1 Ti 2.28, 3 Ag 2.54
S 0.6535 0.1160 0.7694  1 Ti 2.28, 3 Ag 2.54

Output
The crystal system is tetragonal. Its total DFT energy (no corrections) is -36.54 eV for the cell shown.

***

Compound: La3Re2O10
Source: Alexandria
Functional: PBE
Structure: relaxed

abc: 5.5891 5.5891 7.2322
angles: 72.71 72.71 89.44
With the nearest neighbours (Å) after each atom.
Atoms (fractional coordinates):
La 0.2569 0.7431 0.5000  4 O 2.39-2.48
La 0.7431 0.2569 0.5000  4 O 2.39-2.48
La 0.0000 0.0000 0.0000  8 O 2.45-2.58
Re 0.6333 0.6333 0.8256  6 O 1.89-2.07
Re 0.3667 0.3667 0.1744  6 O 1.89-2.07
O 0.6667 0.6667 0.5312  1 Re 2.03
O 0.3333 0.3333 0.4688  1 Re 2.03
O 0.1300 0.6055 0.2126  1 Re 1.89
O 0.3945 0.8700 0.7874  1 Re 1.89
O 0.8700 0.3945 0.7874  1 Re 1.89
O 0.3507 0.3507 0.9077  2 Re 1.99-2.07
O 0.6493 0.6493 0.0923  2 Re 1.99-2.07
O 0.0952 0.0952 0.2814  1 Re 1.96
O 0.9048 0.9048 0.7186  1 Re 1.96
O 0.6055 0.1300 0.2126  1 Re 1.89

Output
The crystal system is monoclinic. Its total DFT energy (no corrections) is -128.27 eV for the cell shown.

***

Compound: SrGa2Ge2
Source: Alexandria
Functional: PBE
Structure: relaxed

abc: 4.7468 4.7468 6.0037
angles: 66.71 66.71 90.00
With the nearest neighbours (Å) after each atom.
Atoms (fractional coordinates):
Sr 0.0000 0.0000 0.0000  8 Ge 3.44, 10 Ga 3.59-3.72
Ge 0.7500 0.2500 0.5000  4 Ga 2.67
Ge 0.2500 0.7500 0.5000  4 Ga 2.67
Ga 0.3732 0.3732 0.2536  1 Ga 2.52, 4 Ge 2.67
Ga 0.6268 0.6268 0.7464  1 Ga 2.52, 4 Ge 2.67

Output
Its formation energy is -0.332 eV per atom. The crystal system is tetragonal. Its total DFT energy (no corrections) is -18.63 eV for the cell shown.

***

Compound: YCu4Ge4
Source: Alexandria
Functional: PBE
Structure: relaxed

abc: 5.9494 5.9494 8.4568
angles: 90.00 90.00 90.00
With the nearest neighbours (Å) after each atom.
Atoms (fractional coordinates):
Y 0.0000 0.0000 0.0000  4 Ge 2.96, 8 Cu 3.31
Y 0.5000 0.5000 0.5000  4 Ge 2.96, 8 Cu 3.31
Cu 0.2202 0.5000 0.9235  5 Ge 2.42-2.60, 3 Cu 2.62-2.69
Cu 0.7798 0.5000 0.9235  5 Ge 2.42-2.60, 3 Cu 2.62-2.69
Cu 0.5000 0.7798 0.0765  5 Ge 2.42-2.60, 3 Cu 2.62-2.69
Cu 0.5000 0.2202 0.0765  5 Ge 2.42-2.60, 3 Cu 2.62-2.69
Cu 0.0000 0.7202 0.4235  5 Ge 2.42-2.60, 3 Cu 2.62-2.69
Cu 0.0000 0.2798 0.4235  5 Ge 2.42-2.60, 3 Cu 2.62-2.69
Cu 0.2798 0.0000 0.5765  5 Ge 2.42-2.60, 3 Cu 2.62-2.69
Cu 0.7202 0.0000 0.5765  5 Ge 2.42-2.60, 3 Cu 2.62-2.69
Ge 0.5000 0.7786 0.7905  5 Cu 2.42-2.60, 1 Ge 2.63
Ge 0.5000 0.2214 0.7905  5 Cu 2.42-2.60, 1 Ge 2.63
Ge 0.7786 0.5000 0.2095  5 Cu 2.42-2.60, 1 Ge 2.63
Ge 0.2214 0.5000 0.2095  5 Cu 2.42-2.60, 1 Ge 2.63
Ge 0.2786 0.0000 0.2905  5 Cu 2.42-2.60, 1 Ge 2.63
Ge 0.7214 0.0000 0.2905  5 Cu 2.42-2.60, 1 Ge 2.63
Ge 0.0000 0.2786 0.7095  5 Cu 2.42-2.60, 1 Ge 2.63
Ge 0.0000 0.7214 0.7095  5 Cu 2.42-2.60, 1 Ge 2.63

Output
Its formation energy is -0.116 eV per atom. The crystal system is tetragonal. Its total DFT energy (no corrections) is -84.73 eV for the cell shown.

***

Compound: TePbW2
Source: Alexandria
Functional: PBE
Structure: relaxed

abc: 4.7663 4.7663 3.3766
angles: 90.00 90.00 90.00
With the nearest neighbours (Å) after each atom.
Atoms (fractional coordinates):
Pb 0.5000 0.0000 0.5000  8 W 2.92
Te 0.0000 0.5000 0.5000  8 W 2.92
W 0.0000 0.0000 0.0000  4 Pb 2.92, 4 Te 2.92
W 0.5000 0.5000 0.0000  4 Pb 2.92, 4 Te 2.92

Output
The crystal system is tetragonal. Its total DFT energy (no corrections) is -28.55 eV for the cell shown.